DFT (PBE) results for crystalline Er3CuPt at its relaxed geometry.

* crystal system: orthorhombic
* energy: -0.1956 hartree per atom
* formation enthalpy at 0 K: -269 kJ/mol of formula units

The structure in POSCAR format:
```
Er3CuPt
1.0
-1.915 1.755 2.712
-0.252 -5.912 3.649
8.073 2.268 4.233
Er Cu Pt
6 2 2
Direct
0.750 0.750 0.052
0.250 0.250 0.948
0.750 0.992 0.685
0.750 0.508 0.685
0.250 0.008 0.315
0.250 0.492 0.315
0.750 0.750 0.432
0.250 0.250 0.568
0.750 0.250 0.166
0.250 0.750 0.834
```

---

DFT (PBE) results for crystalline Er8CuPt2 at its relaxed geometry.

* crystal system: monoclinic
* energy: -0.1917 hartree per atom
* formation enthalpy at 0 K: -454 kJ/mol of formula units

The structure in POSCAR format:
```
Er8CuPt2
1.0
5.749 0.082 -0.950
-1.877 6.785 -2.861
-0.050 -0.114 7.598
Pt Cu Er
2 1 8
Direct
0.487 0.693 0.316
0.487 0.316 0.693
0.149 0.004 0.004
0.584 0.340 0.082
0.584 0.082 0.340
0.173 0.367 0.367
0.989 0.222 0.779
0.989 0.779 0.222
0.805 0.640 0.640
0.377 0.925 0.666
0.377 0.666 0.925
```

---

DFT (PBE) results for crystalline Er8Cu2Pt at its relaxed geometry.

* relative energy among the computed polymorphs: 0.000 eV/f.u.
* crystal system: monoclinic
* energy: -0.1816 hartree per atom
* formation enthalpy at 0 K: -351 kJ/mol of formula units

The structure in POSCAR format:
```
Er8Cu2Pt
1.0
-1.467 2.231 4.254
-5.181 -4.103 0.365
7.075 -5.087 2.143
Er Cu Pt
8 2 1
Direct
0.410 0.555 0.819
0.667 0.978 0.334
0.797 0.668 0.594
0.967 0.215 0.934
0.203 0.332 0.406
0.333 0.022 0.666
0.590 0.445 0.181
0.033 0.785 0.066
0.814 0.270 0.627
0.186 0.730 0.373
0.500 0.000 0.000
```

---

DFT (PBE) results for crystalline Er2Cu2Pt at its relaxed geometry.

* relative energy among the computed polymorphs: 0.305 eV/f.u.
* crystal system: tetragonal
* energy: -0.1927 hartree per atom
* formation enthalpy at 0 K: -275 kJ/mol of formula units

The structure in POSCAR format:
```
Er2Cu2Pt
1.0
-6.522 -0.857 2.436
-0.279 -6.345 -2.980
2.811 -3.140 6.422
Er Cu Pt
8 8 4
Direct
0.683 0.817 0.500
0.317 0.183 0.500
0.817 0.317 0.000
0.183 0.683 0.000
0.817 0.317 0.500
0.183 0.683 0.500
0.317 0.183 0.000
0.683 0.817 0.000
0.379 0.879 0.250
0.621 0.121 0.250
0.121 0.379 0.750
0.879 0.621 0.750
0.879 0.621 0.250
0.121 0.379 0.250
0.379 0.879 0.750
0.621 0.121 0.750
0.500 0.500 0.250
0.000 0.000 0.750
0.500 0.500 0.750
0.000 0.000 0.250
```

---

DFT (PBE) results for crystalline Er2Cu15Pt2 at its relaxed geometry.

* crystal system: trigonal
* energy: -0.1675 hartree per atom
* formation enthalpy at 0 K: -380 kJ/mol of formula units

The structure in POSCAR format:
```
Er2Cu15Pt2
1.0
6.489 -0.042 -0.037
0.801 6.439 -0.037
0.801 0.703 6.401
Er Cu Pt
2 15 2
Direct
0.337 0.337 0.337
0.663 0.663 0.663
0.500 0.000 0.000
0.000 0.000 0.500
0.000 0.500 0.000
0.000 0.703 0.297
0.703 0.297 0.000
0.297 0.000 0.703
0.297 0.703 0.000
0.703 0.000 0.297
0.000 0.297 0.703
0.156 0.648 0.648
0.648 0.648 0.156
0.648 0.156 0.648
0.844 0.352 0.352
0.352 0.352 0.844
0.352 0.844 0.352
0.109 0.109 0.109
0.891 0.891 0.891
```

---

DFT (PBE) results for crystalline ErCu2Pt2 at its relaxed geometry.

* crystal system: tetragonal
* energy: -0.2034 hartree per atom
* formation enthalpy at 0 K: -274 kJ/mol of formula units

The structure in POSCAR format:
```
ErCu2Pt2
1.0
-1.467 1.341 -3.339
-2.793 -2.697 0.145
-4.559 7.922 7.446
Er Cu Pt
2 4 4
Direct
0.628 0.628 0.256
0.372 0.372 0.744
0.000 0.500 0.000
0.178 0.178 0.356
0.500 0.000 0.000
0.822 0.822 0.644
0.750 0.250 0.500
0.927 0.927 0.855
0.073 0.073 0.145
0.250 0.750 0.500
```

---

DFT (PBE) results for crystalline ErCuPt4 at its relaxed geometry.

* crystal system: cubic
* energy: -0.2240 hartree per atom
* formation enthalpy at 0 K: -362 kJ/mol of formula units

The structure in POSCAR format:
```
ErCuPt4
1.0
5.310 0.000 0.000
2.655 4.598 0.000
2.655 1.533 4.335
Cu Pt Er
1 4 1
Direct
0.000 0.000 0.000
0.626 0.626 0.123
0.626 0.123 0.626
0.626 0.626 0.626
0.123 0.626 0.626
0.250 0.250 0.250
```

---

DFT (PBE) results for crystalline Er6CuPt5 at its relaxed geometry.

* crystal system: monoclinic
* energy: -0.2298 hartree per atom
* formation enthalpy at 0 K: -1290 kJ/mol of formula units

The structure in POSCAR format:
```
Er6CuPt5
1.0
4.710 -0.007 -1.322
-3.531 6.853 -3.549
-0.181 -0.991 8.427
Pt Cu Er
5 1 6
Direct
0.500 0.160 0.840
0.000 0.329 0.671
0.500 0.500 0.500
0.000 0.671 0.329
0.500 0.840 0.160
0.000 0.000 0.000
0.251 0.084 0.419
0.749 0.581 0.916
0.753 0.253 0.253
0.247 0.747 0.747
0.251 0.419 0.084
0.749 0.916 0.581
```

---

DFT (PBE) results for crystalline Er4Cu2Pt at its relaxed geometry.

* relative energy among the computed polymorphs: 0.000 eV/f.u.
* crystal system: triclinic
* energy: -0.1885 hartree per atom
* formation enthalpy at 0 K: -329 kJ/mol of formula units

The structure in POSCAR format:
```
Er4Cu2Pt
1.0
7.371 -0.818 -0.128
-1.281 7.511 0.265
-2.902 -3.350 5.934
Er Cu Pt
8 4 2
Direct
0.973 0.242 0.340
0.348 0.508 0.231
0.875 0.639 0.617
0.678 0.033 0.753
0.469 0.098 0.283
0.228 0.111 0.736
0.435 0.652 0.871
0.970 0.717 0.145
0.609 0.375 0.734
0.736 0.875 0.361
0.653 0.381 0.118
0.988 0.370 0.773
0.228 0.716 0.526
0.060 0.034 0.012
```

---

DFT (PBE) results for crystalline ErPuCuPt at its relaxed geometry.

* crystal system: cubic
* energy: -0.2863 hartree per atom
* formation enthalpy at 0 K: -205 kJ/mol of formula units

The structure in POSCAR format:
```
ErPuCuPt
1.0
-4.847 0.640 -0.540
-2.880 -3.835 -1.092
-3.107 -1.781 3.372
Er Cu Pt Pu
1 1 1 1
Direct
0.750 0.750 0.750
0.000 0.000 0.000
0.500 0.500 0.500
0.250 0.250 0.250
```

---

DFT (PBE) results for crystalline ErCuPtRh at its relaxed geometry.

* relative energy among the computed polymorphs: 0.483 eV/f.u.
* crystal system: cubic
* energy: -0.2248 hartree per atom
* formation enthalpy at 0 K: -233 kJ/mol of formula units

The structure in POSCAR format:
```
ErCuPtRh
1.0
4.558 0.000 0.000
2.279 3.947 0.000
2.279 1.316 3.721
Rh Cu Pt Er
1 1 1 1
Direct
0.250 0.250 0.250
0.000 0.000 0.000
0.750 0.750 0.750
0.500 0.500 0.500
```

---

DFT (PBE) results for crystalline ErCuPtRh at its relaxed geometry.

* relative energy among the computed polymorphs: 0.000 eV/f.u.
* crystal system: orthorhombic
* energy: -0.2292 hartree per atom
* formation enthalpy at 0 K: -279 kJ/mol of formula units

The structure in POSCAR format:
```
ErCuPtRh
1.0
3.850 0.000 0.000
0.000 4.056 0.000
0.000 0.000 4.193
Er Cu Pt Rh
1 1 1 1
Direct
0.000 0.500 0.500
0.000 0.000 0.000
0.500 0.500 0.000
0.500 0.000 0.500
```

---

DFT (PBE) results for crystalline ErScCuPt at its relaxed geometry.

* crystal system: cubic
* energy: -0.2222 hartree per atom
* formation enthalpy at 0 K: -304 kJ/mol of formula units

The structure in POSCAR format:
```
ErScCuPt
1.0
4.764 0.000 0.000
2.382 4.126 0.000
2.382 1.375 3.890
Sc Cu Pt Er
1 1 1 1
Direct
0.000 0.000 0.000
0.250 0.250 0.250
0.750 0.750 0.750
0.500 0.500 0.500
```

---

DFT (PBE) results for crystalline ErScCuPt at its relaxed geometry.

* crystal system: orthorhombic
* energy: -0.2221 hartree per atom
* formation enthalpy at 0 K: -303 kJ/mol of formula units

The structure in POSCAR format:
```
ErScCuPt
1.0
3.583 0.000 0.000
0.000 4.335 0.000
-1.792 0.000 5.138
Er Sc Cu Pt
1 1 1 1
Direct
0.858 0.500 0.717
0.139 0.000 0.277
0.422 0.000 0.843
0.581 0.500 0.163
```

---

DFT (PBE) results for crystalline Er2CuSi4Pt3 at its relaxed geometry.

* E_form (uncorrected): -0.967 eV per atom
* crystal system: tetragonal
* energy: -0.2304 hartree per atom

The structure in POSCAR format:
```
Er2CuSi4Pt3
1.0
-3.064 2.493 1.124
0.173 -1.508 3.816
6.682 7.084 2.497
Er Cu Si Pt
2 1 4 3
Direct
0.500 0.000 0.256
0.000 0.500 0.744
0.500 0.500 0.500
0.500 0.500 0.000
0.000 0.000 0.000
0.500 0.000 0.634
0.000 0.500 0.366
0.000 0.000 0.500
0.500 0.000 0.872
0.000 0.500 0.128
```

---

DFT (PBE) results for crystalline Er2CuSi3Pt4 at its relaxed geometry.

* E_form (uncorrected): -0.988 eV per atom
* crystal system: tetragonal
* energy: -0.2335 hartree per atom

The structure in POSCAR format:
```
Er2CuSi3Pt4
1.0
-3.206 -2.581 -0.628
1.577 -2.642 2.804
-5.133 4.615 7.235
Er Cu Si Pt
2 1 3 4
Direct
0.500 0.000 0.259
0.000 0.500 0.741
0.500 0.500 0.500
0.000 0.000 0.500
0.500 0.000 0.867
0.000 0.500 0.133
0.500 0.500 0.000
0.000 0.000 0.000
0.500 0.000 0.636
0.000 0.500 0.364
```

---

DFT (PBE) results for crystalline ErCuSi2Pt5 at its relaxed geometry.

* E_form (uncorrected): -0.600 eV per atom
* crystal system: tetragonal
* energy: -0.2250 hartree per atom

The structure in POSCAR format:
```
ErCuSi2Pt5
1.0
4.018 0.000 0.000
0.000 4.018 0.000
0.000 0.000 10.449
Er Cu Si Pt
1 1 2 5
Direct
0.000 0.000 0.500
0.000 0.000 0.000
0.500 0.500 0.275
0.500 0.500 0.725
0.000 0.500 0.157
0.500 0.000 0.157
0.000 0.500 0.843
0.500 0.000 0.843
0.500 0.500 0.500
```

---

DFT (PBE) results for crystalline ErCuSnPt at its relaxed geometry.

* crystal system: cubic
* energy: -0.1972 hartree per atom
* formation enthalpy at 0 K: -267 kJ/mol of formula units

The structure in POSCAR format:
```
ErCuSnPt
1.0
4.737 0.000 0.000
2.369 4.103 0.000
2.369 1.368 3.868
Cu Sn Pt Er
1 1 1 1
Direct
0.750 0.750 0.750
0.500 0.500 0.500
0.250 0.250 0.250
0.000 0.000 0.000
```

---

DFT (PBE) results for crystalline SrErCuPt at its relaxed geometry.

* crystal system: cubic
* energy: -0.1686 hartree per atom
* formation enthalpy at 0 K: -190 kJ/mol of formula units

The structure in POSCAR format:
```
SrErCuPt
1.0
5.046 0.000 0.000
2.523 4.370 0.000
2.523 1.457 4.120
Sr Cu Pt Er
1 1 1 1
Direct
0.000 0.000 0.000
0.250 0.250 0.250
0.750 0.750 0.750
0.500 0.500 0.500
```

---

DFT (PBE) results for crystalline TbErCuPt at its relaxed geometry.

* relative energy among the computed polymorphs: 0.141 eV/f.u.
* crystal system: cubic
* energy: -0.2062 hartree per atom
* formation enthalpy at 0 K: -301 kJ/mol of formula units

The structure in POSCAR format:
```
TbErCuPt
1.0
4.913 0.000 0.000
2.456 4.254 0.000
2.456 1.418 4.011
Tb Cu Pt Er
1 1 1 1
Direct
0.000 0.000 0.000
0.250 0.250 0.250
0.750 0.750 0.750
0.500 0.500 0.500
```

---

DFT (PBE) results for crystalline TbErCuPt at its relaxed geometry.

* relative energy among the computed polymorphs: 0.000 eV/f.u.
* crystal system: orthorhombic
* energy: -0.2075 hartree per atom
* formation enthalpy at 0 K: -314 kJ/mol of formula units

The structure in POSCAR format:
```
TbErCuPt
1.0
-0.680 -2.129 -3.021
2.639 -3.166 1.637
-3.764 -1.093 3.955
Tb Er Cu Pt
1 1 1 1
Direct
0.861 0.500 0.721
0.138 0.000 0.276
0.422 0.000 0.843
0.580 0.500 0.159
```

---

DFT (PBE) results for crystalline ErTlCuPt at its relaxed geometry.

* crystal system: cubic
* energy: -0.1738 hartree per atom
* formation enthalpy at 0 K: -179 kJ/mol of formula units

The structure in POSCAR format:
```
ErTlCuPt
1.0
4.793 0.000 0.000
2.397 4.151 0.000
2.397 1.384 3.914
Tl Cu Pt Er
1 1 1 1
Direct
0.250 0.250 0.250
0.000 0.000 0.000
0.500 0.500 0.500
0.750 0.750 0.750
```

---

DFT (PBE) results for crystalline ErZnCuPt at its relaxed geometry.

* crystal system: cubic
* energy: -0.1681 hartree per atom
* formation enthalpy at 0 K: -224 kJ/mol of formula units

The structure in POSCAR format:
```
ErZnCuPt
1.0
-2.622 -2.553 2.816
1.965 -3.086 2.817
0.087 0.758 4.554
Zn Cu Pt Er
1 1 1 1
Direct
0.500 0.500 0.500
0.250 0.250 0.250
0.750 0.750 0.750
0.000 0.000 0.000
```

---

DFT (PBE) results for crystalline Er4ZnCu2Pt at its relaxed geometry.

* crystal system: trigonal
* energy: -0.1761 hartree per atom
* formation enthalpy at 0 K: -442 kJ/mol of formula units

The structure in POSCAR format:
```
Er4ZnCu2Pt
1.0
-1.328 -4.329 -1.857
0.991 -4.120 2.448
-7.199 -2.269 3.988
Er Zn Cu Pt
4 1 2 1
Direct
0.378 0.378 0.867
0.873 0.873 0.381
0.127 0.127 0.619
0.622 0.622 0.133
0.000 0.000 0.000
0.743 0.743 0.770
0.257 0.257 0.230
0.500 0.500 0.500
```

---

DFT (PBE) results for crystalline ErZrCuPt at its relaxed geometry.

* crystal system: cubic
* energy: -0.2367 hartree per atom
* formation enthalpy at 0 K: -243 kJ/mol of formula units

The structure in POSCAR format:
```
ErZrCuPt
1.0
-1.170 -3.173 3.388
1.318 -4.579 -0.452
3.388 -1.808 2.858
Cu Zr Pt Er
1 1 1 1
Direct
0.000 0.000 0.000
0.750 0.750 0.750
0.500 0.500 0.500
0.250 0.250 0.250
```